# 1
PrTi2Tc | PBE | optimized geometry

extended XYZ file:
```
4
Lattice="-2.770 1.022 -1.235 1.088 -0.611 -2.947 -2.894 -7.307 0.446" Properties=species:S:1:pos:R:3 pbc="T T T"
Pr -2.288 -3.448 -1.868
Tc -0.841 0.205 -2.091
Ti -2.374 -5.994 0.366
Ti -0.520 -1.313 0.080
```

Results
SG: No. 123
Total moment (μB per atom): 0.000
E_tot (eV/atom): -7.845
Mass density (g cm⁻³): 6.89
Formation energy (eV per atom): -0.112



# 2
EuGdRh2 | PBE | optimized geometry

extended XYZ file:
```
4
Lattice="3.458 0.000 0.000 0.000 4.942 0.000 0.000 0.000 4.942" Properties=species:S:1:pos:R:3 pbc="T T T"
Eu 1.729 2.471 2.471
Gd 1.729 0.000 0.000
Rh 0.000 0.000 2.471
Rh 0.000 2.471 0.000
```

Results
SG: No. 123
Total moment (μB per atom): 3.459
E_tot (eV/atom): -10.325
Mass density (g cm⁻³): 10.13
Formation energy (eV per atom): -0.561



# 3
SiPtIO2 | PBE | optimized geometry

extended XYZ file:
```
5
Lattice="3.585 0.000 0.000 0.000 3.585 0.000 0.000 0.000 6.568" Properties=species:S:1:pos:R:3 pbc="T T T"
I 0.000 0.000 3.284
Si 0.000 0.000 0.000
O 0.000 1.793 0.000
O 1.793 0.000 0.000
Pt 1.793 1.793 3.284
```

Results
SG: No. 123
Total moment (μB per atom): 0.000
Relative energy among the computed polymorphs (eV/atom): 0.000
E_tot (eV/atom): -5.141
Mass density (g cm⁻³): 7.52
Uncorrected formation energy (eV per atom): -0.56



# 4
BaDyAgO3 | PBE | optimized geometry

extended XYZ file:
```
12
Lattice="-3.181 1.616 0.759 -0.258 -4.729 8.995 3.113 6.235 -0.230" Properties=species:S:1:pos:R:3 pbc="T T T"
Ba -0.280 2.516 6.624
Ba -0.046 0.607 2.899
Dy -0.360 -1.487 6.045
Dy 0.034 4.609 3.479
Ag 1.067 -0.065 9.002
Ag -1.394 3.188 0.521
O 0.721 0.206 6.971
O -2.136 -1.547 7.498
O -1.930 0.031 4.997
O -1.047 2.917 2.553
O 1.604 3.092 4.526
O 1.810 4.670 2.026
```

Results
SG: No. 11
Total moment (μB per atom): 0.000
E_tot (eV/atom): -6.383
Mass density (g cm⁻³): 6.58
Uncorrected formation energy (eV per atom): -2.34



# 5
BaH6I3 | PBE | optimized geometry

extended XYZ file:
```
20
Lattice="-3.993 -5.136 4.327 1.020 -5.094 -5.835 6.809 -1.856 3.351" Properties=species:S:1:pos:R:3 pbc="T T T"
Ba 0.000 0.000 0.000
Ba 1.918 -6.043 0.921
H 3.276 -9.288 -0.107
H 2.350 -2.533 -0.041
H 0.021 -3.256 1.682
H -0.138 -3.404 -0.577
H 0.512 -3.502 -0.952
H 1.388 -9.450 1.141
H 2.449 -2.635 0.702
H 3.324 -8.583 2.795
H 3.974 -8.681 2.420
H 3.815 -8.829 0.161
H 1.486 -9.553 1.884
H 0.560 -2.797 1.950
I -1.392 -5.787 2.062
I 4.057 -3.952 2.758
I 1.706 -6.718 4.360
I 2.130 -5.368 -2.517
I -0.221 -8.134 -0.915
I 5.228 -6.298 -0.219
```

Results
SG: No. 167
Total moment (μB per atom): 0.000
E_tot (eV/atom): -3.078
Mass density (g cm⁻³): 3.66



# 6
Ac4Cd5Sn2 | PBE | optimized geometry

extended XYZ file:
```
11
Lattice="-4.734 -0.325 -0.353 0.676 -7.727 -1.945 -0.482 -2.856 9.101" Properties=species:S:1:pos:R:3 pbc="T T T"
Ac -2.150 -7.695 3.861
Ac -2.634 -4.236 7.174
Ac -2.389 -3.213 2.942
Ac -1.905 -6.672 -0.370
Cd 0.212 -5.354 2.094
Cd 0.049 -1.468 0.694
Cd 0.338 -3.864 -0.973
Cd 0.145 -9.115 6.462
Cd -0.017 -5.229 5.062
Sn -0.263 -2.319 5.669
Sn 0.457 -8.264 1.487
```

Results
SG: No. 10
Total moment (μB per atom): 0.000
E_tot (eV/atom): -3.004
Mass density (g cm⁻³): 7.81
Formation energy (eV per atom): -0.366



# 7
TlReC2 | PBE | optimized geometry

extended XYZ file:
```
4
Lattice="0.000 2.904 2.904 2.904 0.000 2.904 2.904 2.904 0.000" Properties=species:S:1:pos:R:3 pbc="T T T"
Re 0.000 0.000 0.000
Tl 2.904 2.904 2.904
C 1.452 1.452 1.452
C 4.356 4.356 4.356
```

Results
SG: No. 225
Total moment (μB per atom): 0.000
Relative energy among the computed polymorphs (eV/atom): 1.646
E_tot (eV/atom): -5.795
Mass density (g cm⁻³): 14.06
Formation energy (eV per atom): 2.520



# 8
CeTh2Te | PBE | optimized geometry

extended XYZ file:
```
4
Lattice="5.501 0.000 0.000 2.751 4.764 0.000 2.751 1.588 4.494" Properties=species:S:1:pos:R:3 pbc="T T T"
Te 0.000 0.000 0.000
Ce 5.501 3.176 2.247
Th 2.751 1.588 1.127
Th 8.252 4.764 3.367
```

Results
SG: No. 225
Total moment (μB per atom): 0.292
Relative energy among the computed polymorphs (eV/atom): 0.334
E_tot (eV/atom): -6.069
Mass density (g cm⁻³): 10.32
Uncorrected formation energy (eV per atom): -0.09



# 9
Al4CdIr5 | PBE | optimized geometry

extended XYZ file:
```
10
Lattice="3.016 0.000 0.000 0.000 3.016 0.000 0.000 0.000 15.889" Properties=species:S:1:pos:R:3 pbc="T T T"
Al 0.000 0.000 3.334
Al 0.000 0.000 6.416
Al 0.000 0.000 9.473
Al 0.000 0.000 12.554
Cd 0.000 0.000 0.000
Ir 1.508 1.508 1.993
Ir 1.508 1.508 4.954
Ir 1.508 1.508 7.944
Ir 1.508 1.508 10.935
Ir 1.508 1.508 13.896
```

Results
SG: No. 123
Total moment (μB per atom): 0.000
E_tot (eV/atom): -6.773
Mass density (g cm⁻³): 13.57
Formation energy (eV per atom): -0.754



# 10
PrTmTh2Bi4 | PBE | optimized geometry

extended XYZ file:
```
8
Lattice="-0.285 4.218 -1.756 1.315 -2.930 -7.250 -7.751 0.084 1.460" Properties=species:S:1:pos:R:3 pbc="T T T"
Pr 0.000 0.000 0.000
Tm 0.515 0.644 -4.503
Th -4.018 2.151 -0.148
Th -3.218 -1.423 -2.895
Bi -1.722 1.382 -2.367
Bi -4.999 -0.010 -5.179
Bi -5.533 -0.694 -0.769
Bi -0.903 -2.152 -5.021
```

Results
SG: No. 10
Total moment (μB per atom): 0.000
E_tot (eV/atom): -5.663
Mass density (g cm⁻³): 9.91
Formation energy (eV per atom): -0.711



# 11
Ca2In6Ga | PBE | optimized geometry

extended XYZ file:
```
9
Lattice="3.254 -0.207 -1.321 -0.990 8.066 -3.703 -0.005 -0.578 9.510" Properties=species:S:1:pos:R:3 pbc="T T T"
Ca 0.922 1.086 2.119
Ca 1.337 6.195 2.368
In 0.069 3.608 4.299
In 2.190 3.673 0.188
In 1.865 6.326 -1.030
In 1.460 1.261 -1.287
In 0.804 6.598 -3.737
In 0.395 0.955 5.516
Ga -0.495 4.033 -1.852
```

Results
SG: No. 12
Total moment (μB per atom): 0.000
E_tot (eV/atom): -2.814
Mass density (g cm⁻³): 5.81
Formation energy (eV per atom): -0.207



# 12
NdB2Ir3 | PBE | optimized geometry

extended XYZ file:
```
18
Lattice="-2.546 2.590 -0.129 -6.391 -6.214 1.356 3.842 4.125 7.037" Properties=species:S:1:pos:R:3 pbc="T T T"
Nd -1.273 1.295 -0.064
Nd -2.980 -2.767 3.250
Nd 0.431 0.679 5.143
B -5.747 -2.982 2.356
B -2.947 -0.260 1.762
B -4.064 -1.175 5.439
B 0.653 3.484 5.909
B -2.147 0.762 6.503
B -1.031 1.677 2.826
Ir -2.547 0.251 4.132
Ir 0.648 3.358 3.454
Ir -4.468 -1.812 0.614
Ir -1.828 -1.498 6.020
Ir 1.086 1.166 1.990
Ir -1.807 -1.757 0.383
Ir -0.721 -0.590 2.373
Ir -3.635 -3.255 6.403
Ir -4.584 -4.457 0.973
```

Results
SG: No. 191
Total moment (μB per atom): 0.000
Relative energy among the computed polymorphs (eV/atom): 0.329
E_tot (eV/atom): -7.754
Mass density (g cm⁻³): 14.46
Formation energy (eV per atom): -0.303